Version one
{
  "formula": "LiHfCu3S4",
  "functional": "PBE-GGA",
  "state": "optimized geometry",
  "cell": [[-3.569, 0.395, -4.273], [4.167, -1.011, -3.573], [-1.027, -5.475, 0.352]],
  "species": ["Cu", "Cu", "Cu", "S", "S", "S", "S", "Li", "Hf"],
  "fractional_positions": [[0.000, 0.500, 0.000], [0.500, 0.000, 0.000], [0.000, 0.000, 0.500], [0.247, 0.247, 0.753], [0.753, 0.247, 0.247], [0.753, 0.753, 0.753], [0.247, 0.753, 0.247], [0.500, 0.500, 0.500], [0.000, 0.000, 0.000]],
  "spacegroup": "P-43m (215)",
  "total_magnetization_mub_per_atom": 0.00
}

Version two
{
  "formula": "LiHfCu3S4",
  "functional": "PBE-GGA",
  "state": "optimized geometry",
  "cell": [[-0.706, 0.446, 5.674], [4.485, -5.781, 1.012], [7.110, 5.237, -1.595]],
  "species": ["Hf", "Hf", "Cu", "Cu", "Cu", "Cu", "Cu", "Cu", "S", "S", "S", "S", "S", "S", "S", "S", "Li", "Li"],
  "fractional_positions": [[0.714, 0.750, 0.294], [0.286, 0.250, 0.706], [0.266, 0.558, 0.483], [0.790, 0.250, 0.765], [0.266, 0.942, 0.483], [0.734, 0.058, 0.517], [0.734, 0.442, 0.517], [0.210, 0.750, 0.235], [0.552, 0.994, 0.720], [0.985, 0.750, 0.550], [0.552, 0.506, 0.720], [0.448, 0.494, 0.280], [0.138, 0.250, 0.929], [0.448, 0.006, 0.280], [0.862, 0.750, 0.071], [0.015, 0.250, 0.450], [0.856, 0.750, 0.805], [0.144, 0.250, 0.195]],
  "spacegroup": "P2_1/m (11)",
  "total_magnetization_mub_per_atom": 0.00
}

Stability check: which of them is most stable? version one.

Version one
{
  "formula": "LiHfCuS3",
  "functional": "PBE-GGA",
  "state": "optimized geometry",
  "cell": [[-3.543, -7.121, -5.480], [1.321, -2.440, 2.317], [-10.382, 0.337, 6.274]],
  "species": ["S", "S", "S", "S", "S", "S", "S", "S", "S", "S", "S", "S", "Hf", "Hf", "Hf", "Hf", "Li", "Li", "Li", "Li", "Cu", "Cu", "Cu", "Cu"],
  "fractional_positions": [[0.426, 0.750, 0.891], [0.074, 0.250, 0.391], [0.761, 0.750, 0.341], [0.450, 0.250, 0.388], [0.261, 0.750, 0.159], [0.550, 0.750, 0.612], [0.574, 0.250, 0.109], [0.739, 0.250, 0.841], [0.950, 0.250, 0.112], [0.239, 0.250, 0.659], [0.050, 0.750, 0.888], [0.926, 0.750, 0.609], [0.986, 0.250, 0.745], [0.014, 0.750, 0.255], [0.486, 0.250, 0.755], [0.514, 0.750, 0.245], [0.295, 0.750, 0.501], [0.795, 0.750, 0.999], [0.205, 0.250, 0.001], [0.705, 0.250, 0.499], [0.240, 0.750, 0.778], [0.260, 0.250, 0.278], [0.740, 0.750, 0.722], [0.760, 0.250, 0.222]],
  "spacegroup": "Pnma (62)",
  "total_magnetization_mub_per_atom": 0.00
}

Version two
{
  "formula": "LiHfCuS3",
  "functional": "PBE-GGA",
  "state": "optimized geometry",
  "cell": [[7.282, 0.000, 0.000], [0.000, 3.749, 0.000], [0.000, 0.000, 15.182]],
  "species": ["Cu", "Cu", "Cu", "Cu", "S", "S", "S", "S", "S", "S", "S", "S", "S", "S", "S", "S", "Li", "Li", "Li", "Li", "Hf", "Hf", "Hf", "Hf"],
  "fractional_positions": [[0.862, 0.750, 0.353], [0.638, 0.250, 0.853], [0.138, 0.250, 0.647], [0.362, 0.750, 0.147], [0.127, 0.750, 0.049], [0.991, 0.750, 0.585], [0.509, 0.250, 0.085], [0.491, 0.750, 0.915], [0.329, 0.750, 0.292], [0.671, 0.250, 0.708], [0.171, 0.250, 0.792], [0.373, 0.250, 0.549], [0.009, 0.250, 0.415], [0.873, 0.250, 0.951], [0.829, 0.750, 0.208], [0.627, 0.750, 0.451], [0.423, 0.750, 0.747], [0.923, 0.750, 0.753], [0.577, 0.250, 0.253], [0.077, 0.250, 0.247], [0.755, 0.750, 0.052], [0.245, 0.250, 0.948], [0.745, 0.250, 0.552], [0.255, 0.750, 0.448]],
  "spacegroup": "Pnma (62)",
  "total_magnetization_mub_per_atom": 0.00
}

Version three
{
  "formula": "LiHfCuS3",
  "functional": "PBE-GGA",
  "state": "optimized geometry",
  "cell": [[10.532, 0.000, 0.000], [0.000, 3.638, 0.000], [0.000, 0.000, 11.153]],
  "species": ["Li", "Li", "Li", "Li", "Hf", "Hf", "Hf", "Hf", "S", "S", "S", "S", "S", "S", "S", "S", "S", "S", "S", "S", "Cu", "Cu", "Cu", "Cu"],
  "fractional_positions": [[0.514, 0.500, 0.364], [0.014, 0.000, 0.136], [0.986, 0.500, 0.864], [0.486, 0.000, 0.636], [0.326, 0.500, 0.944], [0.174, 0.500, 0.444], [0.674, 0.000, 0.056], [0.826, 0.000, 0.556], [0.149, 0.000, 0.940], [0.082, 0.000, 0.582], [0.148, 0.500, 0.228], [0.851, 0.500, 0.060], [0.418, 0.000, 0.082], [0.582, 0.500, 0.918], [0.918, 0.500, 0.418], [0.648, 0.000, 0.272], [0.852, 0.000, 0.772], [0.351, 0.000, 0.440], [0.352, 0.500, 0.728], [0.649, 0.500, 0.560], [0.215, 0.000, 0.745], [0.715, 0.500, 0.755], [0.785, 0.500, 0.255], [0.285, 0.000, 0.245]],
  "spacegroup": "Pnma (62)",
  "total_magnetization_mub_per_atom": 0.00
}

Version four
{
  "formula": "LiHfCuS3",
  "functional": "PBE-GGA",
  "state": "optimized geometry",
  "cell": [[7.107, 0.000, 0.000], [0.000, 3.632, 0.000], [-2.006, 0.000, 8.429]],
  "species": ["Cu", "Cu", "S", "S", "S", "S", "S", "S", "Hf", "Hf", "Li", "Li"],
  "fractional_positions": [[0.414, 0.750, 0.907], [0.586, 0.250, 0.093], [0.575, 0.250, 0.353], [0.235, 0.250, 0.967], [0.425, 0.750, 0.647], [0.078, 0.250, 0.355], [0.765, 0.750, 0.033], [0.922, 0.750, 0.645], [0.810, 0.750, 0.331], [0.190, 0.250, 0.669], [0.773, 0.250, 0.806], [0.227, 0.750, 0.194]],
  "spacegroup": "P2_1/m (11)",
  "total_magnetization_mub_per_atom": 0.00
}

Stability check: which of them is most stable? version four.

Version one
{
  "formula": "LiHfCuSe3",
  "functional": "PBE-GGA",
  "state": "optimized geometry",
  "cell": [[12.662, 0.000, 0.000], [0.000, 3.752, 0.000], [0.000, 0.000, 10.216]],
  "species": ["Se", "Se", "Se", "Se", "Se", "Se", "Se", "Se", "Se", "Se", "Se", "Se", "Li", "Li", "Li", "Li", "Hf", "Hf", "Hf", "Hf", "Cu", "Cu", "Cu", "Cu"],
  "fractional_positions": [[0.355, 0.750, 0.248], [0.880, 0.750, 0.882], [0.145, 0.250, 0.748], [0.620, 0.250, 0.382], [0.855, 0.750, 0.252], [0.645, 0.250, 0.752], [0.386, 0.250, 0.941], [0.886, 0.250, 0.559], [0.114, 0.750, 0.441], [0.380, 0.750, 0.618], [0.614, 0.750, 0.059], [0.120, 0.250, 0.118], [0.718, 0.750, 0.548], [0.218, 0.750, 0.952], [0.282, 0.250, 0.452], [0.782, 0.250, 0.048], [0.494, 0.250, 0.179], [0.006, 0.750, 0.679], [0.506, 0.750, 0.821], [0.994, 0.250, 0.321], [0.493, 0.750, 0.411], [0.993, 0.750, 0.089], [0.007, 0.250, 0.911], [0.507, 0.250, 0.589]],
  "spacegroup": "Pnma (62)",
  "total_magnetization_mub_per_atom": 0.00
}

Version two
{
  "formula": "LiHfCuSe3",
  "functional": "PBE-GGA",
  "state": "optimized geometry",
  "cell": [[-5.870, -6.311, 2.319], [-4.898, -7.375, -1.129], [6.550, -2.995, 2.769]],
  "species": ["Se", "Se", "Se", "Se", "Se", "Se", "Cu", "Cu", "Li", "Li", "Hf", "Hf"],
  "fractional_positions": [[0.500, 0.500, 0.500], [0.682, 0.682, 0.336], [0.675, 0.675, 0.845], [0.000, 0.000, 0.000], [0.318, 0.318, 0.664], [0.325, 0.325, 0.155], [0.454, 0.454, 0.779], [0.546, 0.546, 0.221], [0.900, 0.900, 0.436], [0.100, 0.100, 0.564], [0.837, 0.837, 0.912], [0.163, 0.163, 0.088]],
  "spacegroup": "C2/m (12)",
  "total_magnetization_mub_per_atom": 0.00
}

Version three
{
  "formula": "LiHfCuSe3",
  "functional": "PBE-GGA",
  "state": "optimized geometry",
  "cell": [[1.879, -6.473, 0.000], [1.879, 6.473, 0.000], [0.000, 0.000, 10.029]],
  "species": ["Se", "Se", "Se", "Se", "Se", "Se", "Cu", "Cu", "Hf", "Hf", "Li", "Li"],
  "fractional_positions": [[0.905, 0.095, 0.750], [0.095, 0.905, 0.250], [0.360, 0.640, 0.062], [0.640, 0.360, 0.938], [0.640, 0.360, 0.562], [0.360, 0.640, 0.438], [0.525, 0.475, 0.750], [0.475, 0.525, 0.250], [0.000, 0.000, 0.500], [0.000, 0.000, 0.000], [0.766, 0.234, 0.250], [0.234, 0.766, 0.750]],
  "spacegroup": "Cmcm (63)",
  "total_magnetization_mub_per_atom": 0.00
}

Stability check: which of them is most stable? version one.

Version one
{
  "formula": "LiHfCuSi",
  "functional": "PBE-GGA",
  "state": "optimized geometry",
  "cell": [[0.000, 3.034, 3.034], [3.034, 0.000, 3.034], [3.034, 3.034, 0.000]],
  "species": ["Li", "Si", "Hf", "Cu"],
  "fractional_positions": [[0.250, 0.250, 0.250], [0.000, 0.000, 0.000], [0.500, 0.500, 0.500], [0.750, 0.750, 0.750]],
  "spacegroup": "F-43m (216)",
  "total_magnetization_mub_per_atom": 0.00
}

Version two
{
  "formula": "LiHfCuSi",
  "functional": "PBE-GGA",
  "state": "optimized geometry",
  "cell": [[-4.324, -0.423, -0.110], [-2.453, 3.183, -1.655], [-2.031, -0.574, -3.799]],
  "species": ["Li", "Hf", "Cu", "Si"],
  "fractional_positions": [[0.500, 0.500, 0.500], [0.250, 0.250, 0.250], [0.750, 0.750, 0.750], [0.000, 0.000, 0.000]],
  "spacegroup": "F-43m (216)",
  "total_magnetization_mub_per_atom": 0.00
}

Stability check: which of them is most stable? version two.

Version one
{
  "formula": "LiHfCu3Te4",
  "functional": "PBE-GGA",
  "state": "optimized geometry",
  "cell": [[6.172, 0.000, 0.000], [0.000, 8.315, 0.000], [-0.864, 0.000, 9.142]],
  "species": ["Cu", "Cu", "Cu", "Cu", "Cu", "Cu", "Te", "Te", "Te", "Te", "Te", "Te", "Te", "Te", "Li", "Li", "Hf", "Hf"],
  "fractional_positions": [[0.710, 0.750, 0.793], [0.789, 0.507, 0.003], [0.211, 0.493, 0.997], [0.290, 0.250, 0.207], [0.789, 0.993, 0.003], [0.211, 0.007, 0.997], [0.490, 0.750, 0.034], [0.458, 0.750, 0.547], [0.045, 0.985, 0.250], [0.955, 0.485, 0.750], [0.510, 0.250, 0.966], [0.955, 0.015, 0.750], [0.542, 0.250, 0.453], [0.045, 0.515, 0.250], [0.713, 0.750, 0.321], [0.287, 0.250, 0.679], [0.778, 0.250, 0.228], [0.222, 0.750, 0.772]],
  "spacegroup": "P2_1/m (11)",
  "total_magnetization_mub_per_atom": 0.00
}

Version two
{
  "formula": "LiHfCu3Te4",
  "functional": "PBE-GGA",
  "state": "optimized geometry",
  "cell": [[6.145, 0.000, 0.000], [0.000, 6.145, 0.000], [0.000, 0.000, 6.145]],
  "species": ["Cu", "Cu", "Cu", "Hf", "Te", "Te", "Te", "Te", "Li"],
  "fractional_positions": [[0.500, 0.000, 0.000], [0.000, 0.000, 0.500], [0.000, 0.500, 0.000], [0.000, 0.000, 0.000], [0.253, 0.253, 0.747], [0.747, 0.253, 0.253], [0.253, 0.747, 0.253], [0.747, 0.747, 0.747], [0.500, 0.500, 0.500]],
  "spacegroup": "P-43m (215)",
  "total_magnetization_mub_per_atom": 0.00
}

Stability check: which of them is most stable? version two.

Version one
{
  "formula": "LiHfTlCu",
  "functional": "PBE-GGA",
  "state": "optimized geometry",
  "cell": [[-2.472, -3.331, 1.897], [-4.300, 0.805, 1.294], [-3.464, -1.867, -2.308]],
  "species": ["Tl", "Hf", "Li", "Cu"],
  "fractional_positions": [[0.000, 0.000, 0.000], [0.500, 0.500, 0.500], [0.250, 0.250, 0.250], [0.750, 0.750, 0.750]],
  "spacegroup": "F-43m (216)",
  "total_magnetization_mub_per_atom": 0.00
}

Version two
{
  "formula": "LiHfTlCu",
  "functional": "PBE-GGA",
  "state": "optimized geometry",
  "cell": [[-1.058, -0.358, 4.518], [-4.453, -0.181, 1.339], [-1.769, -3.968, 1.668]],
  "species": ["Hf", "Li", "Cu", "Tl"],
  "fractional_positions": [[0.250, 0.250, 0.250], [0.500, 0.500, 0.500], [0.750, 0.750, 0.750], [0.000, 0.000, 0.000]],
  "spacegroup": "F-43m (216)",
  "total_magnetization_mub_per_atom": 0.01
}

Stability check: which of them is most stable? version one.

Version one
{
  "formula": "LuHfCuNi",
  "functional": "PBE-GGA",
  "state": "optimized geometry",
  "cell": [[-0.827, -4.192, -1.730], [0.591, -3.738, 2.633], [-3.659, -2.407, 1.440]],
  "species": ["Hf", "Lu", "Ni", "Cu"],
  "fractional_positions": [[0.500, 0.500, 0.500], [0.000, 0.000, 0.000], [0.250, 0.250, 0.250], [0.750, 0.750, 0.750]],
  "spacegroup": "F-43m (216)",
  "total_magnetization_mub_per_atom": 0.00
}

Version two
{
  "formula": "LuHfCuNi",
  "functional": "PBE-GGA",
  "state": "optimized geometry",
  "cell": [[0.270, -4.518, -0.144], [-1.569, -2.473, 3.454], [-3.756, -2.478, -0.511]],
  "species": ["Ni", "Hf", "Cu", "Lu"],
  "fractional_positions": [[0.500, 0.500, 0.500], [0.250, 0.250, 0.250], [0.750, 0.750, 0.750], [0.000, 0.000, 0.000]],
  "spacegroup": "F-43m (216)",
  "total_magnetization_mub_per_atom": 0.00
}

Stability check: which of them is most stable? version one.

Version one
{
  "formula": "LuHfCuPd",
  "functional": "PBE-GGA",
  "state": "optimized geometry",
  "cell": [[-0.362, -2.856, 3.761], [-3.621, 0.498, 3.012], [-3.413, -3.279, 0.163]],
  "species": ["Pd", "Cu", "Lu", "Hf"],
  "fractional_positions": [[0.250, 0.250, 0.250], [0.750, 0.750, 0.750], [0.500, 0.500, 0.500], [0.000, 0.000, 0.000]],
  "spacegroup": "F-43m (216)",
  "total_magnetization_mub_per_atom": 0.00
}

Version two
{
  "formula": "LuHfCuPd",
  "functional": "PBE-GGA",
  "state": "optimized geometry",
  "cell": [[-2.773, -3.619, 0.806], [-3.322, 0.299, 3.210], [-4.446, 0.161, -1.279]],
  "species": ["Lu", "Cu", "Hf", "Pd"],
  "fractional_positions": [[0.500, 0.500, 0.500], [0.750, 0.750, 0.750], [0.250, 0.250, 0.250], [0.000, 0.000, 0.000]],
  "spacegroup": "F-43m (216)",
  "total_magnetization_mub_per_atom": 0.00
}

Stability check: which of them is most stable? version one.

Version one
{
  "formula": "HfMgCuPb",
  "functional": "PBE-GGA",
  "state": "optimized geometry",
  "cell": [[-3.324, -3.218, 1.534], [-2.194, 0.628, 4.307], [-4.707, 1.255, 0.178]],
  "species": ["Pb", "Mg", "Hf", "Cu"],
  "fractional_positions": [[0.000, 0.000, 0.000], [0.250, 0.250, 0.250], [0.500, 0.500, 0.500], [0.750, 0.750, 0.750]],
  "spacegroup": "F-43m (216)",
  "total_magnetization_mub_per_atom": 0.01
}

Version two
{
  "formula": "HfMgCuPb",
  "functional": "PBE-GGA",
  "state": "optimized geometry",
  "cell": [[-3.563, 1.966, 2.730], [-3.980, 1.883, -2.152], [-4.317, -2.282, 0.407]],
  "species": ["Hf", "Mg", "Pb", "Cu"],
  "fractional_positions": [[0.250, 0.250, 0.250], [0.500, 0.500, 0.500], [0.000, 0.000, 0.000], [0.750, 0.750, 0.750]],
  "spacegroup": "F-43m (216)",
  "total_magnetization_mub_per_atom": 0.01
}

Stability check: which of them is most stable? version one.